Computed, not measured: AcTbNd2Ho5 after structural relaxation at the GGA-PBE level of DFT.

E_tot = -0.317 Ry per atom
density of states at the Fermi level = 1.06 states/eV/atom
ρ = 8.17 g/cm³
magnetization = 0.0 μB per cell

a b c (Å): 8.835 8.835 15.606
angles (deg): 90.00 90.00 90.00
Space group I4/mcm (No. 140)
Symmetry-distinct sites (fractional):
Ac 0.000 0.000 0.250 (multiplicity 4)
Tb 0.000 0.500 0.250 (multiplicity 4)
Nd 0.117 0.383 0.000 (multiplicity 8)
Ho 0.000 0.000 0.000 (multiplicity 4)
Ho 0.207 0.293 0.367 (multiplicity 16)

---

Computed, not measured: AcTb2Nd2Ho2 after structural relaxation at the GGA-PBE level of DFT.

E_tot = -0.334 Ry per atom
density of states at the Fermi level = 1.53 states/eV/atom
ρ = 8.03 g/cm³
magnetization = 0.0 μB per cell

a b c (Å): 11.559 5.160 8.147
angles (deg): 90.00 98.34 90.00
Space group C2/m (No. 12)
Symmetry-distinct sites (fractional):
Ac 0.000 0.000 0.000 (multiplicity 2)
Tb 0.074 0.500 0.706 (multiplicity 4)
Nd 0.215 0.500 0.151 (multiplicity 4)
Ho 0.142 0.000 0.433 (multiplicity 4)

---

Computed, not measured: AcTb2Nd4Ho after structural relaxation at the GGA-PBE level of DFT.

E_tot = -0.338 Ry per atom
density of states at the Fermi level = 1.49 states/eV/atom
ρ = 7.64 g/cm³
magnetization = 0.0 μB per cell

a b c (Å): 5.172 5.208 10.383
angles (deg): 90.00 90.00 90.00
Space group Pmmm (No. 47)
Symmetry-distinct sites (fractional):
Ac 0.000 0.000 0.000 (multiplicity 1)
Tb 0.000 0.000 0.500 (multiplicity 1)
Tb 0.500 0.500 0.000 (multiplicity 1)
Nd 0.000 0.500 0.258 (multiplicity 2)
Nd 0.500 0.000 0.258 (multiplicity 2)
Ho 0.500 0.500 0.500 (multiplicity 1)

---

Computed, not measured: AcNdHoTe3 after structural relaxation at the GGA-PBE level of DFT.

E_tot = -0.375 Ry per atom
density of states at the Fermi level = 0.71 states/eV/atom
ρ = 7.55 g/cm³
magnetization = 0.0 μB per cell
energy relative to the elements, uncorrected = -1.284 eV/atom

a b c (Å): 8.761 4.607 10.697
angles (deg): 90.00 110.53 90.00
Space group P2_1/m (No. 11)
Symmetry-distinct sites (fractional):
Ac 0.185 0.250 0.233 (multiplicity 2)
Nd 0.358 0.750 0.881 (multiplicity 2)
Ho 0.139 0.250 0.619 (multiplicity 2)
Te 0.108 0.250 0.897 (multiplicity 2)
Te 0.240 0.750 0.482 (multiplicity 2)
Te 0.459 0.750 0.208 (multiplicity 2)

---

Computed, not measured: Ac2Nd3HoTe6 after structural relaxation at the GGA-PBE level of DFT.

E_tot = -0.385 Ry per atom
density of states at the Fermi level = 0.56 states/eV/atom
ρ = 7.55 g/cm³
magnetization = 0.0 μB per cell
energy relative to the elements, uncorrected = -1.406 eV/atom

a b c (Å): 7.880 13.665 7.879
angles (deg): 90.00 109.52 90.00
Space group C2/m (No. 12)
Symmetry-distinct sites (fractional):
Ac 0.000 0.165 0.000 (multiplicity 4)
Nd 0.000 0.000 0.500 (multiplicity 2)
Nd 0.000 0.320 0.500 (multiplicity 4)
Ho 0.000 0.500 0.000 (multiplicity 2)
Te 0.226 0.500 0.736 (multiplicity 4)
Te 0.240 0.342 0.250 (multiplicity 8)

---

Computed, not measured: Ac3Nd3HoTe8 after structural relaxation at the GGA-PBE level of DFT.

E_tot = -0.384 Ry per atom
density of states at the Fermi level = 0.50 states/eV/atom
ρ = 6.98 g/cm³
magnetization = 0.0 μB per cell
energy relative to the elements, uncorrected = -1.468 eV/atom

a b c (Å): 9.1054 9.1054 22.8451
angles (deg): 90.00 90.00 120.00
Space group R-3m (No. 166, hexagonal axes)
Symmetry-distinct sites (fractional):
Ac 0.0000 0.5000 0.0000 (multiplicity 9)
Nd 0.0000 0.5000 0.5000 (multiplicity 9)
Ho 0.0000 0.0000 0.5000 (multiplicity 3)
Te 0.0000 0.0000 0.2452 (multiplicity 6)
Te 0.0031 0.5016 0.2447 (multiplicity 18)

---

Look up the magnetization of the first one. 0.0 μB per cell